Zn3Sn2Pt2: single point on PBEsol structure, SCAN.

Lattice parameters (Å, degrees): 4.3135 4.3135 15.5222 90.00 90.00 120.00
With the nearest neighbours (Å) after each atom.
Space group P6_3/mmc (No. 194)
Asymmetric unit:
Zn  0.0000  0.0000  0.1690 x4  4 Zn 2.52-2.79, 4 Pt 2.62-2.79
Zn  0.3333  0.6667  0.2500 x2  3 Pt 2.49
Sn  0.3333  0.6667  0.5728 x4  4 Pt 2.73-2.75, 3 Zn 2.90
Pt  0.0000  0.0000  0.0000 x2  2 Zn 2.62, 6 Sn 2.73
Pt  0.3333  0.6667  0.7500 x2  3 Zn 2.49, 2 Sn 2.75

Results
Calculated formation energy in eV/atom: -0.51
Total magnetization in μB/atom: 0.000
Raw total energy in eV per atom: -36.63
V in Å³/atom: 17.87



YSeF3: single point on PBEsol structure, SCAN.

Lattice parameters (Å, degrees): 4.4629 4.4629 4.4629 90.00 90.00 90.00
With the nearest neighbours (Å) after each atom.
Space group Pm-3m (No. 221)
Asymmetric unit:
Y  0.0000  0.0000  0.0000 x1  12 F 3.16
Se  0.5000  0.5000  0.5000 x1  6 F 2.23
F  0.0000  0.5000  0.5000 x3  2 Se 2.23

Results
Total magnetization in μB/atom: 0.105
Raw total energy in eV per atom: -12.79
V in Å³/atom: 17.78



AgAsPBr2: single point on PBEsol structure, SCAN.

Lattice parameters (Å, degrees): 5.0501 5.0501 4.7758 90.00 90.00 90.00
With the nearest neighbours (Å) after each atom.
Space group P4/mmm (No. 123)
Asymmetric unit:
Ag  0.0000  0.0000  0.0000 x1  8 Br 3.48, 4 As 3.57
As  0.5000  0.5000  0.0000 x1  2 P 2.39
P  0.5000  0.5000  0.5000 x1  2 As 2.39, 4 Br 2.53
Br  0.0000  0.5000  0.5000 x2  2 P 2.53

Results
Total magnetization in μB/atom: 0.210
Raw total energy in eV per atom: -19.63
V in Å³/atom: 24.36



ScCrF2: single point on PBEsol structure, SCAN.

Lattice parameters (Å, degrees): 5.9012 5.9012 5.9012 90.00 90.00 90.00
With the nearest neighbours (Å) after each atom.
Space group Fm-3m (No. 225)
Asymmetric unit:
Sc  0.0000  0.0000  0.0000 x4  8 F 2.56
Cr  0.0000  0.0000  0.5000 x4  8 F 2.56
F  0.2500  0.2500  0.2500 x8  4 Cr 2.56, 4 Sc 2.56

Results
Total magnetization in μB/atom: 1.259
Raw total energy in eV per atom: -11.33
V in Å³/atom: 12.84



TaMn2Fe: single point on PBEsol structure, SCAN.

Lattice parameters (Å, degrees): 4.0362 4.0362 3.0276 90.00 90.00 90.00
With the nearest neighbours (Å) after each atom.
Space group P4/mmm (No. 123)
Asymmetric unit:
Ta  0.0000  0.0000  0.0000 x1  8 Mn 2.52
Mn  0.0000  0.5000  0.5000 x2  4 Ta 2.52, 4 Fe 2.52
Fe  0.5000  0.5000  0.0000 x1  8 Mn 2.52

Results
Calculated formation energy in eV/atom: -0.01
Total magnetization in μB/atom: 1.056
Raw total energy in eV per atom: -30.32
V in Å³/atom: 12.33



Mg2HgBi2: single point on PBEsol structure, SCAN.

Lattice parameters (Å, degrees): 5.2375 5.2375 11.1164 90.00 90.00 90.00
With the nearest neighbours (Å) after each atom.
Space group I4/mmm (No. 139)
Asymmetric unit:
Mg  0.0000  0.5000  0.2500 x4  4 Bi 2.93
Hg  0.0000  0.0000  0.0000 x2  8 Mg 3.82, 10 Bi 3.98-4.10
Bi  0.0000  0.0000  0.3685 x4  1 Bi 2.92, 4 Mg 2.93

Results
Calculated formation energy in eV/atom: -0.08
Total magnetization in μB/atom: 0.000
Raw total energy in eV per atom: -47.14
V in Å³/atom: 30.49



SbOsI2O: single point on PBEsol structure, SCAN.

Lattice parameters (Å, degrees): 5.8617 5.8617 3.9521 90.00 90.00 90.00
With the nearest neighbours (Å) after each atom.
Space group P4/mmm (No. 123)
Asymmetric unit:
Sb  0.0000  0.0000  0.0000 x1  2 O 1.98
Os  0.5000  0.5000  0.5000 x1  8 I 3.53, 2 Os 3.95
I  0.0000  0.5000  0.0000 x2  2 Sb 2.93
O  0.0000  0.0000  0.5000 x1  2 Sb 1.98

Results
Total magnetization in μB/atom: 0.688
Raw total energy in eV per atom: -36.74
V in Å³/atom: 27.16



Cd2MoW: single point on PBEsol structure, SCAN.

Lattice parameters (Å, degrees): 2.7319 4.7097 5.4641 90.00 103.78 90.00
With the nearest neighbours (Å) after each atom.
Space group P2/m (No. 10)
Asymmetric unit:
Cd  0.9998  0.0000  0.2496 x2  4 Cd 2.73-2.74, 2 Mo 2.90, 2 W 2.90
Mo  0.5000  0.5000  0.0000 x1  2 Mo 2.73, 2 W 2.73, 4 Cd 2.90
W  0.5000  0.5000  0.5000 x1  2 W 2.73, 2 Mo 2.73, 4 Cd 2.90

Results
Calculated formation energy in eV/atom: 0.57
Total magnetization in μB/atom: 0.000
Raw total energy in eV per atom: -40.78
V in Å³/atom: 17.07



NaMg3: single point on PBEsol structure, SCAN.

Lattice parameters (Å, degrees): 5.1618 5.1618 3.6825 90.00 90.00 90.00
With the nearest neighbours (Å) after each atom.
Space group P4/mmm (No. 123)
Asymmetric unit:
Na  0.0000  0.0000  0.0000 x1  8 Mg 3.17
Mg  0.0000  0.5000  0.5000 x2  4 Na 3.17, 4 Mg 3.17
Mg  0.5000  0.5000  0.0000 x1  8 Mg 3.17

Results
Calculated formation energy in eV/atom: 0.12
Total magnetization in μB/atom: 0.000
Raw total energy in eV per atom: -4.66
V in Å³/atom: 24.53



SrEu: single point on PBEsol structure, SCAN.

Lattice parameters (Å, degrees): 3.9874 3.9874 6.6089 90.00 90.00 120.00
With the nearest neighbours (Å) after each atom.
Space group P-6m2 (No. 187)
Asymmetric unit:
Sr  0.0000  0.0000  0.0000 x1  6 Sr 3.99, 6 Eu 4.03
Eu  0.6667  0.3333  0.5000 x1  6 Eu 3.99, 6 Sr 4.03

Results
Calculated formation energy in eV/atom: 0.05
Total magnetization in μB/atom: 4.039
Raw total energy in eV per atom: -37.94
V in Å³/atom: 45.50



Tb3Ni: single point on PBEsol structure, SCAN.

Lattice parameters (Å, degrees): 6.7309 9.4467 6.2060 90.00 90.00 90.00
With the nearest neighbours (Å) after each atom.
Space group Pnma (No. 62)
Asymmetric unit:
Tb  0.0323  0.2500  0.1393 x4  2 Ni 2.70-2.78
Tb  0.1780  0.0651  0.6763 x8  2 Ni 2.71-2.79
Ni  0.1105  0.7500  0.4407 x4  6 Tb 2.70-2.79

Results
Calculated formation energy in eV/atom: -0.26
Total magnetization in μB/atom: 0.000
Raw total energy in eV per atom: -39.37
V in Å³/atom: 24.66



NaBS2Cl: single point on PBEsol structure, SCAN.

Lattice parameters (Å, degrees): 3.9341 3.9341 6.2551 90.00 90.00 90.00
With the nearest neighbours (Å) after each atom.
Space group P4/mmm (No. 123)
Asymmetric unit:
Na  0.0000  0.0000  0.0000 x1  4 Cl 2.78
B  0.5000  0.5000  0.5000 x1  4 S 1.97
S  0.0000  0.5000  0.5000 x2  2 B 1.97
Cl  0.5000  0.5000  0.0000 x1  4 Na 2.78

Results
Total magnetization in μB/atom: 0.000
Raw total energy in eV per atom: -7.93
V in Å³/atom: 19.36



Fe2Mo: single point on PBEsol structure, SCAN.

Lattice parameters (Å, degrees): 4.1193 4.1193 2.5165 90.00 90.00 120.00
With the nearest neighbours (Å) after each atom.
Space group P-3m1 (No. 164)
Asymmetric unit:
Fe  0.3333  0.6667  0.3526 x2  5 Fe 2.49-2.52, 3 Mo 2.54
Mo  0.0000  0.0000  0.0000 x1  2 Mo 2.52, 6 Fe 2.54

Results
Calculated formation energy in eV/atom: 0.06
Total magnetization in μB/atom: 1.469
Raw total energy in eV per atom: -23.66
V in Å³/atom: 12.33



SrTaIr3: single point on PBEsol structure, SCAN.

Lattice parameters (Å, degrees): 4.8054 4.8054 4.8054 90.00 90.00 90.00
With the nearest neighbours (Å) after each atom.
Space group Pm-3m (No. 221)
Asymmetric unit:
Sr  0.0000  0.0000  0.0000 x1  12 Ir 3.40
Ta  0.5000  0.5000  0.5000 x1  6 Ir 2.40
Ir  0.0000  0.5000  0.5000 x3  2 Ta 2.40

Results
Calculated formation energy in eV/atom: 0.57
Total magnetization in μB/atom: 0.000
Raw total energy in eV per atom: -59.86
V in Å³/atom: 22.19